# BiMoO3, relaxed, DFT GGA+U
# E_tot	-6.31	eV per atom
data_BiMoO3
_chemical_formula_sum 'Bi4 Mo4 O12'
_space_group_name_H-M_alt 'C 1 2/m 1'
_space_group_IT_number 12
_cell_length_a 13.6905
_cell_length_b 3.5113
_cell_length_c 7.1698
_cell_angle_alpha 90.00
_cell_angle_beta 104.26
_cell_angle_gamma 90.00
loop_
_space_group_symop_operation_xyz
'x,y,z'
'-x,-y,-z'
'-x,y,-z'
'x,-y,z'
'x+1/2,y+1/2,z'
'-x+1/2,-y+1/2,-z'
'-x+1/2,y+1/2,-z'
'x+1/2,-y+1/2,z'
loop_
_atom_site_label
_atom_site_fract_x
_atom_site_fract_y
_atom_site_fract_z
Bi1 0.1232 0.0000 0.4077
Mo1 0.1531 0.5000 0.8683
O1 0.0774 0.0000 0.6936
O2 0.1893 0.0000 0.0565
O3 0.1951 0.5000 0.5592